This record from the Alexandria database describes crystalline CoAg3O at its relaxed geometry. The functional is GGA+U.

```
CoAg3O
1.0
4.780 0.000 0.000
0.000 4.780 0.000
0.000 0.000 4.780
Co Ag O
1 3 1
direct
0.000 0.000 0.000
0.000 0.000 0.500
0.000 0.500 0.000
0.500 0.000 0.000
0.500 0.500 0.500
```

excess energy over the best structure of this formula in the dataset: 0.868 eV per atom
calculated volume: 109.2 Å³/f.u.
Fermi-level density of states: 4.087 states/eV per cell